1.
First-principles (meta-GGA SCAN) data for Zr2TlAs at its PBEsol-relaxed geometry, as listed in Alexandria.

abc: 3.4286 4.8551 4.8551
angles: 90.00 90.00 90.00
Closest atoms and distances in Å follow each position.
Atoms (fractional coordinates):
Tl 0.5000 0.0000 0.0000  8 Zr 2.97
Zr 0.0000 0.5000 0.0000  4 Tl 2.97, 4 As 2.97
Zr 0.0000 0.0000 0.5000  4 Tl 2.97, 4 As 2.97
As 0.5000 0.5000 0.5000  8 Zr 2.97

Properties
**ΔE_f**: -0.35 eV per atom
**SG**: P4/mmm (123)
**Volume**: 80.8 Å³ per cell
**N(E_F)**: 5.2 states/eV per cell

2.
First-principles (meta-GGA SCAN) data for CdGa2Pt2 at its PBEsol-relaxed geometry, as listed in Alexandria.

abc: 3.0471 7.2698 7.2698
angles: 90.00 90.00 90.00
Closest atoms and distances in Å follow each position.
Atoms (fractional coordinates):
Pt 0.0000 0.1456 0.3544  6 Ga 2.59-2.64, 2 Cd 2.79
Pt 0.0000 0.3544 0.8544  6 Ga 2.59-2.64, 2 Cd 2.79
Pt 0.0000 0.8544 0.6456  6 Ga 2.59-2.64, 2 Cd 2.79
Pt 0.0000 0.6456 0.1456  6 Ga 2.59-2.64, 2 Cd 2.79
Ga 0.5000 0.3493 0.1507  6 Pt 2.59-2.64
Ga 0.5000 0.8493 0.3493  6 Pt 2.59-2.64
Ga 0.5000 0.6507 0.8493  6 Pt 2.59-2.64
Ga 0.5000 0.1507 0.6507  6 Pt 2.59-2.64
Cd 0.0000 0.5000 0.5000  4 Pt 2.79, 2 Cd 3.05
Cd 0.0000 0.0000 0.0000  4 Pt 2.79, 2 Cd 3.05

Properties
**ΔE_f**: -0.52 eV per atom
**SG**: P4/mbm (127)
**Volume**: 161.0 Å³ per cell
**N(E_F)**: 2.4 states/eV per cell

3.
First-principles (meta-GGA SCAN) data for BeAlIn2 at its PBEsol-relaxed geometry, as listed in Alexandria.

abc: 3.0162 4.3239 6.4791
angles: 109.49 103.46 90.00
Closest atoms and distances in Å follow each position.
Atoms (fractional coordinates):
In 0.7466 0.2466 0.4933  4 Be 2.64
In 0.9460 0.9460 0.8921  2 Be 2.86, 4 Al 3.00, 4 In 3.02-3.20
Al 0.5664 0.5664 0.1329  2 Be 2.56
Be 0.2409 0.7409 0.4817  2 Al 2.56, 6 In 2.64-2.86

Properties
**ΔE_f**: 0.30 eV per atom
**SG**: Imm2 (44)
**Volume**: 77.2 Å³ per cell
**N(E_F)**: 1.6 states/eV per cell

4.
First-principles (meta-GGA SCAN) data for SnBi3Ru at its PBEsol-relaxed geometry, as listed in Alexandria.

abc: 5.6043 5.6043 5.6043
angles: 90.00 90.00 90.00
Closest atoms and distances in Å follow each position.
Atoms (fractional coordinates):
Bi 0.0000 0.5000 0.0000  2 Sn 2.80
Bi 0.5000 0.0000 0.0000  2 Sn 2.80
Bi 0.0000 0.0000 0.5000  2 Sn 2.80
Sn 0.0000 0.0000 0.0000  6 Bi 2.80
Ru 0.5000 0.5000 0.5000  12 Bi 3.96

Properties
**ΔE_f**: 1.61 eV per atom
**SG**: Pm-3m (221)
**Volume**: 176.0 Å³ per cell
**N(E_F)**: 5.0 states/eV per cell

> Among the records above, which one has the highest ΔE_f?

SnBi3Ru

> Among the records above, which one has the highest ΔE_f?

SnBi3Ru

> What is the ΔE_f in the second record?

-0.52 eV per atom

> Which value of N(E_F) does entry 4 give?

5.0 states/eV per cell